{
  "formula": "Sc2TeRh2",
  "functional": "PBE",
  "state": "relaxed",
  "final_energy_ev_per_atom": -6.78,
  "polymorph_energy_ev_per_fu": 0.64,
  "magmom_total_mub_per_cell": 0.0,
  "cell": [[3.839, 0.000, 0.000], [0.000, 3.839, 0.000], [0.000, 0.000, 14.285]],
  "species": ["Sc", "Sc", "Sc", "Sc", "Te", "Te", "Rh", "Rh", "Rh", "Rh"],
  "fractional_positions": [[0.000, 0.000, 0.123], [0.000, 0.000, 0.877], [0.500, 0.500, 0.377], [0.500, 0.500, 0.623], [0.000, 0.000, 0.500], [0.500, 0.500, 0.000], [0.000, 0.500, 0.250], [0.000, 0.500, 0.750], [0.500, 0.000, 0.250], [0.500, 0.000, 0.750]]
}

=====

{
  "formula": "Tb2ErRh",
  "functional": "PBE",
  "state": "relaxed",
  "delta_e_f_mev_per_atom": -493,
  "final_energy_ev_per_atom": -5.79,
  "polymorph_energy_ev_per_fu": 0.13,
  "magmom_total_mub_per_cell": 0.0,
  "cell": [[3.816, 0.000, 0.000], [0.000, 11.779, 0.000], [0.000, 0.000, 9.470]],
  "species": ["Tb", "Tb", "Tb", "Tb", "Tb", "Tb", "Tb", "Tb", "Er", "Er", "Er", "Er", "Rh", "Rh", "Rh", "Rh"],
  "fractional_positions": [[0.000, 0.138, 0.067], [0.000, 0.138, 0.433], [0.000, 0.862, 0.567], [0.000, 0.862, 0.933], [0.500, 0.362, 0.567], [0.500, 0.362, 0.933], [0.500, 0.638, 0.067], [0.500, 0.638, 0.433], [0.000, 0.422, 0.250], [0.000, 0.578, 0.750], [0.500, 0.078, 0.750], [0.500, 0.922, 0.250], [0.000, 0.257, 0.750], [0.000, 0.743, 0.250], [0.500, 0.243, 0.250], [0.500, 0.757, 0.750]]
}

=====

{
  "formula": "GaSeO2",
  "functional": "PBE",
  "state": "relaxed",
  "final_energy_ev_per_atom": -3.83,
  "polymorph_energy_ev_per_fu": 5.38,
  "magmom_total_mub_per_cell": 0.0,
  "cell": [[5.779, 0.000, 0.000], [0.000, 5.779, 0.000], [0.000, 0.000, 5.779]],
  "species": ["Ga", "Ga", "Ga", "Ga", "Se", "Se", "Se", "Se", "O", "O", "O", "O", "O", "O", "O", "O"],
  "fractional_positions": [[0.000, 0.000, 0.000], [0.000, 0.500, 0.500], [0.500, 0.000, 0.500], [0.500, 0.500, 0.000], [0.000, 0.000, 0.500], [0.000, 0.500, 0.000], [0.500, 0.000, 0.000], [0.500, 0.500, 0.500], [0.250, 0.250, 0.250], [0.250, 0.250, 0.750], [0.250, 0.750, 0.250], [0.250, 0.750, 0.750], [0.750, 0.250, 0.250], [0.750, 0.250, 0.750], [0.750, 0.750, 0.250], [0.750, 0.750, 0.750]]
}

=====

{
  "formula": "Ac3USe2O6",
  "functional": "PBE",
  "state": "relaxed",
  "final_energy_ev_per_atom": -7.64,
  "magmom_total_mub_per_cell": 1.0,
  "cell": [[6.764, -3.633, 0.000], [6.764, 3.633, 0.000], [-0.698, 0.000, 5.255]],
  "species": ["Ac", "Ac", "Ac", "U", "Se", "Se", "O", "O", "O", "O", "O", "O"],
  "fractional_positions": [[0.000, 0.000, 0.000], [0.000, 0.500, 0.500], [0.500, 0.000, 0.500], [0.500, 0.500, 0.500], [0.213, 0.213, 0.944], [0.787, 0.787, 0.056], [0.212, 0.665, 0.694], [0.335, 0.788, 0.306], [0.352, 0.352, 0.340], [0.648, 0.648, 0.660], [0.665, 0.212, 0.694], [0.788, 0.335, 0.306]]
}

=====

{
  "formula": "Pu6Ir3Au",
  "functional": "PBE",
  "state": "relaxed",
  "delta_e_f_mev_per_atom": -303,
  "final_energy_ev_per_atom": -11.89,
  "magmom_total_mub_per_cell": 22.4,
  "cell": [[5.365, -5.431, 0.000], [5.365, 5.431, 0.000], [0.000, 0.000, 7.934]],
  "species": ["Pu", "Pu", "Pu", "Pu", "Pu", "Pu", "Pu", "Pu", "Pu", "Pu", "Pu", "Pu", "Ir", "Ir", "Ir", "Ir", "Ir", "Ir", "Au", "Au"],
  "fractional_positions": [[0.015, 0.507, 0.741], [0.158, 0.842, 0.500], [0.158, 0.842, 0.982], [0.327, 0.328, 0.991], [0.328, 0.327, 0.491], [0.493, 0.985, 0.741], [0.507, 0.015, 0.241], [0.672, 0.673, 0.991], [0.673, 0.672, 0.491], [0.842, 0.158, 0.000], [0.842, 0.158, 0.482], [0.985, 0.493, 0.241], [0.128, 0.145, 0.741], [0.145, 0.128, 0.241], [0.368, 0.632, 0.740], [0.632, 0.368, 0.240], [0.855, 0.872, 0.741], [0.872, 0.855, 0.241], [0.366, 0.634, 0.241], [0.634, 0.366, 0.741]]
}

=====

{
  "formula": "NaTl2Sn2",
  "functional": "PBE",
  "state": "relaxed",
  "delta_e_f_mev_per_atom": 25,
  "final_energy_ev_per_atom": -2.79,
  "polymorph_energy_ev_per_fu": 0.35,
  "magmom_total_mub_per_cell": 0.0,
  "cell": [[5.312, 0.000, 0.000], [0.000, 5.312, 0.000], [0.000, 0.000, 11.916]],
  "species": ["Na", "Na", "Tl", "Tl", "Tl", "Tl", "Sn", "Sn", "Sn", "Sn"],
  "fractional_positions": [[0.000, 0.000, 0.000], [0.500, 0.500, 0.500], [0.000, 0.500, 0.250], [0.000, 0.500, 0.750], [0.500, 0.000, 0.250], [0.500, 0.000, 0.750], [0.000, 0.000, 0.381], [0.000, 0.000, 0.619], [0.500, 0.500, 0.119], [0.500, 0.500, 0.881]]
}